VASP calculation (GGA-PBE) on a relaxed Zr2Al5PdRh2 crystal.

Cell lengths 9.170, 9.170, 4.004 Å; angles 90.00, 90.00, 90.00 degrees
Sites, in units of the cell vectors:
1 Zr 0.180 0.320 0.000
2 Zr 0.320 0.820 0.000
3 Zr 0.680 0.180 0.000
4 Zr 0.820 0.680 0.000
5 Al 0.000 0.500 0.500
6 Al 0.062 0.796 0.500
7 Al 0.204 0.062 0.500
8 Al 0.296 0.562 0.500
9 Al 0.438 0.296 0.500
10 Al 0.500 0.000 0.500
11 Al 0.562 0.704 0.500
12 Al 0.704 0.438 0.500
13 Al 0.796 0.938 0.500
14 Al 0.938 0.204 0.500
15 Pd 0.000 0.000 0.000
16 Pd 0.500 0.500 0.000
17 Rh 0.117 0.617 0.000
18 Rh 0.383 0.117 0.000
19 Rh 0.617 0.883 0.000
20 Rh 0.883 0.383 0.000

Computed properties:
Space-group type   P4/mbm (127)
Total moment   0.000 μB/f.u.
Energy of formation from the pure elements   -7.30 eV per formula unit
E_tot   -126.00 eV/cell